TaIrPt4 PBE-GGA optimized geometry; D(E_F) = 5.891 states/eV/f.u.; crystal system = cubic; calculated total energy = -45.07 eV per cell; space group = F-43m; spin magnetization = 0.0 μB/f.u.
1.0
0.000 3.664 3.664
3.664 0.000 3.664
3.664 3.664 0.000
Ta Ir Pt
1 1 4
Direct
0.000 0.000 0.000 Ta
0.750 0.750 0.750 Ir
0.375 0.375 0.375 Pt
0.375 0.375 0.874 Pt
0.375 0.874 0.375 Pt
0.874 0.375 0.375 Pt

***

Ta5Ir4Pt PBE-GGA optimized geometry; D(E_F) = 11.003 states/eV/f.u.; crystal system = tetragonal; calculated total energy = -106.69 eV per cell; space group = P4/mmm; spin magnetization = 0.0 μB/f.u.
1.0
2.872 0.000 0.000
0.000 2.872 0.000
0.000 0.000 19.646
Ta Ir Pt
5 4 1
Direct
0.000 0.000 0.000 Ta
0.000 0.000 0.198 Ta
0.000 0.000 0.395 Ta
0.000 0.000 0.605 Ta
0.000 0.000 0.802 Ta
0.500 0.500 0.099 Ir
0.500 0.500 0.298 Ir
0.500 0.500 0.702 Ir
0.500 0.500 0.901 Ir
0.500 0.500 0.500 Pt

***

TaIrPt3 PBE-GGA optimized geometry; D(E_F) = 5.380 states/eV/f.u.; crystal system = cubic; calculated total energy = -31.45 eV per cell; E above lowest polymorph = 0 meV/atom; space group = Pm-3m; spin magnetization = 0.3 μB/f.u.
1.0
4.780 0.000 0.000
0.000 4.780 0.000
0.000 0.000 4.780
Ta Ir Pt
1 1 3
Direct
0.000 0.000 0.000 Ta
0.500 0.500 0.500 Ir
0.000 0.000 0.500 Pt
0.000 0.500 0.000 Pt
0.500 0.000 0.000 Pt

***

TaTcIrPt PBE-GGA optimized geometry; D(E_F) = 3.660 states/eV/f.u.; crystal system = orthorhombic; calculated total energy = -39.30 eV per cell; space group = Pmmm; spin magnetization = 0.0 μB/f.u.
1.0
3.892 0.000 0.000
0.000 3.929 0.000
0.000 0.000 4.019
Ta Tc Ir Pt
1 1 1 1
Direct
0.000 0.000 0.000 Ta
0.500 0.500 0.000 Tc
0.500 0.000 0.500 Ir
0.000 0.500 0.500 Pt

***

TaTiIrPt PBE-GGA optimized geometry; D(E_F) = 4.491 states/eV/f.u.; crystal system = tetragonal; calculated total energy = -37.60 eV per cell; space group = I-4m2; spin magnetization = 0.0 μB/f.u.
1.0
-2.012 2.012 3.894
2.012 -2.012 3.894
2.012 2.012 -3.894
Ta Ti Ir Pt
1 1 1 1
Direct
0.000 0.000 0.000 Ta
0.500 0.500 0.000 Ti
0.750 0.250 0.500 Ir
0.250 0.750 0.500 Pt

***

TaTi5Ir2Pt2 PBE-GGA optimized geometry; D(E_F) = 13.202 states/eV/f.u.; crystal system = tetragonal; calculated total energy = -167.97 eV per cell; space group = P4/mbm; spin magnetization = 0.0 μB/f.u.
1.0
9.055 0.000 0.000
0.000 9.055 0.000
0.000 0.000 4.054
Ta Ti Ir Pt
2 10 4 4
Direct
0.000 0.000 0.000 Ta
0.500 0.500 0.000 Ta
0.000 0.500 0.500 Ti
0.086 0.198 0.500 Ti
0.198 0.914 0.500 Ti
0.302 0.414 0.500 Ti
0.414 0.698 0.500 Ti
0.500 0.000 0.500 Ti
0.586 0.302 0.500 Ti
0.698 0.586 0.500 Ti
0.802 0.086 0.500 Ti
0.914 0.802 0.500 Ti
0.120 0.380 0.000 Ir
0.380 0.880 0.000 Ir
0.620 0.120 0.000 Ir
0.880 0.620 0.000 Ir
0.175 0.675 0.000 Pt
0.325 0.175 0.000 Pt
0.675 0.825 0.000 Pt
0.825 0.325 0.000 Pt

***

TaVIrPt PBE-GGA optimized geometry; D(E_F) = 2.354 states/eV/f.u.; crystal system = orthorhombic; calculated total energy = -38.29 eV per cell; space group = Pmmm; spin magnetization = 0.0 μB/f.u.
1.0
3.913 0.000 0.000
0.000 3.922 0.000
0.000 0.000 3.962
Ta V Ir Pt
1 1 1 1
Direct
0.000 0.000 0.000 Ta
0.500 0.000 0.500 V
0.500 0.500 0.000 Ir
0.000 0.500 0.500 Pt

***

TaVIr2Pt PBE-GGA optimized geometry; D(E_F) = 4.673 states/eV/f.u.; crystal system = tetragonal; calculated total energy = -39.39 eV per cell; space group = P4/mmm; spin magnetization = 0.0 μB/f.u.
1.0
4.457 0.000 0.000
0.000 4.457 0.000
0.000 0.000 4.580
Ta V Ir Pt
1 1 2 1
Direct
0.000 0.000 0.000 Ta
0.000 0.000 0.500 V
0.000 0.500 0.500 Ir
0.500 0.000 0.500 Ir
0.500 0.500 0.000 Pt

***

TaZnIrPt PBE-GGA optimized geometry; D(E_F) = 2.974 states/eV/f.u.; crystal system = cubic; calculated total energy = -29.78 eV per cell; space group = F-43m; spin magnetization = 0.0 μB/f.u.
1.0
0.000 3.158 3.158
3.158 0.000 3.158
3.158 3.158 0.000
Ta Zn Ir Pt
1 1 1 1
Direct
0.000 0.000 0.000 Ta
0.500 0.500 0.500 Zn
0.750 0.750 0.750 Ir
0.250 0.250 0.250 Pt

***

Tb4Ir2Pt PBE-GGA optimized geometry; D(E_F) = 1.627 states/eV/f.u.; crystal system = tetragonal; calculated total energy = -96.98 eV per cell; E above lowest polymorph = 10 meV/atom; space group = I-42d; spin magnetization = 0.0 μB/f.u.
1.0
-4.340 4.340 4.327
4.340 -4.340 4.327
4.340 4.340 -4.327
Tb Ir Pt
8 4 2
Direct
0.001 0.381 0.251 Tb
0.130 0.750 0.749 Tb
0.131 0.251 0.751 Tb
0.250 0.999 0.379 Tb
0.500 0.380 0.249 Tb
0.619 0.870 0.621 Tb
0.620 0.869 0.121 Tb
0.749 0.500 0.879 Tb
0.247 0.625 0.122 Ir
0.375 0.497 0.622 Ir
0.503 0.125 0.878 Ir
0.875 0.753 0.378 Ir
0.000 0.000 0.000 Pt
0.750 0.250 0.500 Pt

***

Tb3IrPt PBE-GGA optimized geometry; D(E_F) = 2.242 states/eV/f.u.; crystal system = monoclinic; calculated total energy = -66.72 eV per cell; E above lowest polymorph = 0 meV/atom; space group = C2/m; spin magnetization = 0.0 μB/f.u.
1.0
7.366 -2.416 0.000
7.366 2.416 0.000
-4.750 0.000 6.899
Tb Ir Pt
6 2 2
Direct
0.081 0.081 0.244 Tb
0.251 0.251 0.756 Tb
0.416 0.416 0.246 Tb
0.584 0.584 0.754 Tb
0.749 0.749 0.244 Tb
0.919 0.919 0.756 Tb
0.164 0.164 0.998 Ir
0.836 0.836 0.002 Ir
0.338 0.338 0.505 Pt
0.662 0.662 0.495 Pt

***

Tb8Ir3Pt2 PBE-GGA optimized geometry; D(E_F) = 11.009 states/eV/f.u.; crystal system = monoclinic; calculated total energy = -86.40 eV per cell; space group = P2/m; spin magnetization = 0.0 μB/f.u.
1.0
8.461 0.000 0.000
0.000 4.836 0.000
-2.824 0.000 7.992
Tb Ir Pt
8 3 2
Direct
0.121 0.000 0.379 Tb
0.129 0.500 0.873 Tb
0.374 0.500 0.630 Tb
0.376 0.000 0.123 Tb
0.624 0.000 0.877 Tb
0.626 0.500 0.370 Tb
0.871 0.500 0.127 Tb
0.879 0.000 0.621 Tb
0.249 0.000 0.748 Ir
0.500 0.500 0.000 Ir
0.751 0.000 0.252 Ir
0.247 0.500 0.252 Pt
0.753 0.500 0.748 Pt

***

- Among the records above, which one has the highest D(E_F)?
  TaTi5Ir2Pt2